Entry 1:
This record from the Alexandria database describes an optimized crystal structure of BaOF4. The functional is PBE.

Cell: 4.603 7.772 7.771 Å, 134.42 92.24 92.24°
Each line ends with the local moment (μB).
Positions (direct):
Ba1 0.750 0.631 0.369  0.00
Ba2 0.250 0.369 0.631  0.00
O1 0.250 0.045 0.955  0.76
O2 0.750 0.955 0.045  0.76
F1 0.762 0.663 0.770  0.06
F2 0.133 0.893 0.366  0.00
F3 0.738 0.230 0.337  0.06
F4 0.367 0.634 0.107  0.00
F5 0.633 0.366 0.893  0.00
F6 0.262 0.770 0.663  0.06
F7 0.867 0.107 0.634  0.00
F8 0.238 0.337 0.230  0.06

Calculated total energy = -24.21 eV per formula unit
Theoretical density = 3.9 Mg/m³

---

Entry 2:
This record from the Alexandria database describes an optimized crystal structure of Fe3Co4. The functional is PBE.

Cell: 6.153 6.153 6.153 Å, 38.06 38.06 38.06°
Each line ends with the local moment (μB).
Positions (direct):
Co1 0.000 0.000 0.000  1.73
Co2 0.285 0.285 0.285  1.77
Co3 0.573 0.573 0.573  1.77
Co4 0.857 0.857 0.857  1.73
Fe1 0.143 0.143 0.143  2.65
Fe2 0.429 0.429 0.429  2.53
Fe3 0.714 0.714 0.714  2.65

Theoretical density = 8.4 Mg/m³
Energy relative to the elements = 0.002 eV per atom
Energy above the lowest structure with this stoichiometry = 27 kJ/mol of formula units

---

Entry 3:
This record from the Alexandria database describes an optimized crystal structure of Rb2InSn3Pb4. The functional is PBE.

Cell: 5.179 5.179 13.748 Å, 90.00 90.00 90.00°
Positions (direct):
Rb1 0.500 0.000 0.252
Rb2 0.000 0.500 0.748
In1 0.500 0.500 0.500
Sn1 0.000 0.000 0.500
Sn2 0.500 0.000 0.869
Sn3 0.000 0.500 0.131
Pb1 0.500 0.500 0.000
Pb2 0.000 0.000 0.000
Pb3 0.500 0.000 0.633
Pb4 0.000 0.500 0.367

Theoretical density = 6.6 Mg/m³
Energy relative to the elements = -0.101 eV per atom

---

Entry 4:
This record from the Alexandria database describes an optimized crystal structure of K2NpAlS5. The functional is PBE.

Cell: 3.969 9.323 14.010 Å, 90.00 90.00 102.29°
Each line ends with the local moment (μB).
Positions (direct):
K1 0.875 0.749 0.825  0.00
K2 0.103 0.206 0.676  0.00
K3 0.125 0.251 0.325  0.00
K4 0.897 0.794 0.176  0.00
Np1 0.792 0.584 0.529  2.64
Np2 0.208 0.416 0.029  2.64
Al1 0.568 0.135 0.924  0.00
Al2 0.432 0.865 0.424  0.00
S1 0.341 0.681 0.009  -0.17
S2 0.694 0.388 0.899  -0.08
S3 0.505 0.011 0.794  -0.03
S4 0.292 0.585 0.650  -0.12
S5 0.941 0.883 0.519  -0.06
S6 0.659 0.319 0.509  -0.17
S7 0.306 0.612 0.399  -0.08
S8 0.495 0.989 0.294  -0.03
S9 0.708 0.415 0.150  -0.12
S10 0.059 0.117 0.019  -0.06

Calculated total energy = -50.13 eV per formula unit
Theoretical density = 3.3 Mg/m³

---

Entry 5:
This record from the Alexandria database describes an optimized crystal structure of BePt5. The functional is PBE.

Cell: 4.994 4.994 9.566 Å, 134.75 134.75 32.43°
Positions (direct):
Be1 0.972 0.972 0.944
Pt1 0.195 0.195 0.803
Pt2 0.339 0.339 0.640
Pt3 0.472 0.472 0.445
Pt4 0.605 0.605 0.248
Pt5 0.750 0.750 0.086

Theoretical density = 18.8 Mg/m³
Energy relative to the elements = -0.236 eV per atom
Energy above the lowest structure with this stoichiometry = 38 kJ/mol of formula units

---

Entry 6:
This record from the Alexandria database describes an optimized crystal structure of BaRe2Os. The functional is PBE.

Cell: 7.682 7.682 6.269 Å, 52.22 52.22 90.00°
Positions (direct):
Re1 0.703 0.125 0.250
Re2 0.047 0.625 0.250
Re3 0.375 0.297 0.750
Re4 0.875 0.953 0.750
Os1 0.000 0.000 0.000
Os2 0.750 0.250 0.500
Ba1 0.500 0.500 0.000
Ba2 0.250 0.750 0.500

Theoretical density = 12.6 Mg/m³
Energy relative to the elements = 1.435 eV per atom
Energy above the lowest structure with this stoichiometry = 243 kJ/mol of formula units

---

> theoretical density of number 2 (Fe3Co4)?

8.4 Mg/m³